(1)
# Pd7Rh2 PBE relaxed
data_Pd7Rh2
_symmetry_space_group_name_H-M 'P -3 1 m'
_symmetry_Int_Tables_number 162
_symmetry_space_group_name_Hall '-P 3 2'
_cell_length_a 4.8035
_cell_length_b 4.8035
_cell_length_c 6.8035
_cell_angle_alpha 90.00
_cell_angle_beta 90.00
_cell_angle_gamma 120.00
loop_
_atom_site_label
_atom_site_type_symbol
_atom_site_fract_x
_atom_site_fract_y
_atom_site_fract_z
Pd1 Pd 0.0000 0.0000 0.0000
Pd2 Pd 0.0000 0.3345 0.6691
Rh1 Rh 0.3333 0.6667 0.0000
# Energy relative to the elements ... 0.055 eV per atom


(2)
# Pd5Rh PBE relaxed
data_Pd5Rh
_symmetry_space_group_name_H-M 'P 4/m m m'
_symmetry_Int_Tables_number 123
_symmetry_space_group_name_Hall '-P 4 2'
_cell_length_a 2.777
_cell_length_b 2.777
_cell_length_c 11.823
_cell_angle_alpha 90.00
_cell_angle_beta 90.00
_cell_angle_gamma 90.00
loop_
_atom_site_label
_atom_site_type_symbol
_atom_site_fract_x
_atom_site_fract_y
_atom_site_fract_z
Pd1 Pd 0.000 0.000 0.000
Pd2 Pd 0.000 0.000 0.338
Pd3 Pd 0.500 0.500 0.169
Rh1 Rh 0.500 0.500 0.500
# Energy relative to the lowest polymorph listed for this composition ... 0 meV per atom
# Energy relative to the elements ... 0.041 eV per atom


(3)
# PdRh PBE relaxed
data_PdRh
_symmetry_space_group_name_H-M 'I -4 3 m'
_symmetry_Int_Tables_number 217
_symmetry_space_group_name_Hall 'I -4 2 3'
_cell_length_a 7.732
_cell_length_b 7.732
_cell_length_c 7.732
_cell_angle_alpha 90.00
_cell_angle_beta 90.00
_cell_angle_gamma 90.00
loop_
_atom_site_label
_atom_site_type_symbol
_atom_site_fract_x
_atom_site_fract_y
_atom_site_fract_z
Pd1 Pd 0.163 0.163 0.837
Rh1 Rh 0.156 0.156 0.156
# Energy relative to the elements ... 1.386 eV per atom


(4)
# Pd5Rh PBE relaxed
data_Pd5Rh
_symmetry_space_group_name_H-M 'P -6 m 2'
_symmetry_Int_Tables_number 187
_symmetry_space_group_name_Hall 'P -6 2'
_cell_length_a 2.7710
_cell_length_b 2.7710
_cell_length_c 13.7749
_cell_angle_alpha 90.00
_cell_angle_beta 90.00
_cell_angle_gamma 120.00
loop_
_atom_site_label
_atom_site_type_symbol
_atom_site_fract_x
_atom_site_fract_y
_atom_site_fract_z
Pd1 Pd 0.0000 0.0000 0.0000
Pd2 Pd 0.0000 0.0000 0.3370
Pd3 Pd 0.3333 0.6667 0.1684
Rh1 Rh 0.3333 0.6667 0.5000
# Energy relative to the lowest polymorph listed for this composition ... 21 meV per atom
# Energy relative to the elements ... 0.062 eV per atom


(5)
# PdRh PBE relaxed
data_PdRh
_symmetry_space_group_name_H-M 'C 1 2/m 1'
_symmetry_Int_Tables_number 12
_cell_length_a 9.084
_cell_length_b 2.770
_cell_length_c 4.766
_cell_angle_alpha 90.00
_cell_angle_beta 100.31
_cell_angle_gamma 90.00
loop_
_symmetry_equiv_pos_as_xyz
'x,y,z'
'-x,-y,-z'
'-x,y,-z'
'x,-y,z'
'x+1/2,y+1/2,z'
'-x+1/2,-y+1/2,-z'
'-x+1/2,y+1/2,-z'
'x+1/2,-y+1/2,z'
loop_
_atom_site_label
_atom_site_type_symbol
_atom_site_fract_x
_atom_site_fract_y
_atom_site_fract_z
Pd1 Pd 0.123 0.000 0.375
Rh1 Rh 0.128 0.500 0.885
# Energy relative to the elements ... 0.082 eV per atom


(6)
# Pd5Rh PBE relaxed
data_Pd5Rh
_symmetry_space_group_name_H-M 'C m m m'
_symmetry_Int_Tables_number 65
_symmetry_space_group_name_Hall '-C 2 2'
_cell_length_a 3.914
_cell_length_b 11.862
_cell_length_c 3.931
_cell_angle_alpha 90.00
_cell_angle_beta 90.00
_cell_angle_gamma 90.00
loop_
_atom_site_label
_atom_site_type_symbol
_atom_site_fract_x
_atom_site_fract_y
_atom_site_fract_z
Pd1 Pd 0.000 0.000 0.000
Pd2 Pd 0.000 0.165 0.500
Pd3 Pd 0.000 0.335 0.000
Rh1 Rh 0.000 0.500 0.500
# Energy relative to the lowest polymorph listed for this composition ... 15 meV per atom
# Energy relative to the elements ... 0.056 eV per atom


(7)
# PdRh2 PBE relaxed
data_PdRh2
_symmetry_space_group_name_H-M 'C 1 2/c 1'
_symmetry_Int_Tables_number 15
_cell_length_a 4.742
_cell_length_b 8.202
_cell_length_c 4.761
_cell_angle_alpha 90.00
_cell_angle_beta 109.64
_cell_angle_gamma 90.00
loop_
_symmetry_equiv_pos_as_xyz
'x,y,z'
'-x,-y,-z'
'-x,y,-z+1/2'
'x,-y,z+1/2'
'x+1/2,y+1/2,z'
'-x+1/2,-y+1/2,-z'
'-x+1/2,y+1/2,-z+1/2'
'x+1/2,-y+1/2,z+1/2'
loop_
_atom_site_label
_atom_site_type_symbol
_atom_site_fract_x
_atom_site_fract_y
_atom_site_fract_z
Pd1 Pd 0.000 0.084 0.250
Rh1 Rh 0.000 0.253 0.750
Rh2 Rh 0.000 0.416 0.250
# Energy relative to the lowest polymorph listed for this composition ... 30 meV per atom
# Energy relative to the elements ... 0.081 eV per atom


(8)
# PdRh PBE relaxed
data_PdRh
_symmetry_space_group_name_H-M 'R 3 m'
_symmetry_Int_Tables_number 160
_symmetry_space_group_name_Hall 'R 3 -2"'
_cell_length_a 2.7509
_cell_length_b 2.7509
_cell_length_c 27.0540
_cell_angle_alpha 90.00
_cell_angle_beta 90.00
_cell_angle_gamma 120.00
loop_
_atom_site_label
_atom_site_type_symbol
_atom_site_fract_x
_atom_site_fract_y
_atom_site_fract_z
Pd1 Pd 0.0000 0.0000 0.0000
Pd2 Pd 0.0000 0.0000 0.4195
Rh1 Rh 0.0000 0.0000 0.2489
Rh2 Rh 0.0000 0.0000 0.8362
# Energy relative to the elements ... 0.054 eV per atom


(9)
# PdRh PBE relaxed
data_PdRh
_symmetry_space_group_name_H-M 'I 4/m'
_symmetry_Int_Tables_number 87
_symmetry_space_group_name_Hall '-I 4'
_cell_length_a 10.337
_cell_length_b 10.337
_cell_length_c 2.648
_cell_angle_alpha 90.00
_cell_angle_beta 90.00
_cell_angle_gamma 90.00
loop_
_atom_site_label
_atom_site_type_symbol
_atom_site_fract_x
_atom_site_fract_y
_atom_site_fract_z
Pd1 Pd 0.055 0.171 0.000
Rh1 Rh 0.151 0.686 0.000
# Energy relative to the elements ... 0.626 eV per atom


(10)
# PdRh PBE relaxed
data_PdRh
_symmetry_space_group_name_H-M 'R -3 m'
_symmetry_Int_Tables_number 166
_symmetry_space_group_name_Hall '-R 3 2"'
_cell_length_a 2.7537
_cell_length_b 2.7537
_cell_length_c 26.9497
_cell_angle_alpha 90.00
_cell_angle_beta 90.00
_cell_angle_gamma 120.00
loop_
_atom_site_label
_atom_site_type_symbol
_atom_site_fract_x
_atom_site_fract_y
_atom_site_fract_z
Pd1 Pd 0.0000 0.0000 0.1237
Rh1 Rh 0.0000 0.0000 0.3731
# Energy relative to the elements ... 0.042 eV per atom


(11)
# PdRh PBE relaxed
data_PdRh
_symmetry_space_group_name_H-M 'I m m 2'
_symmetry_Int_Tables_number 44
_cell_length_a 2.719
_cell_length_b 12.492
_cell_length_c 5.398
_cell_angle_alpha 90.00
_cell_angle_beta 90.00
_cell_angle_gamma 90.00
loop_
_symmetry_equiv_pos_as_xyz
'x,y,z'
'-x,-y,z'
'-x,y,z'
'x,-y,z'
'x+1/2,y+1/2,z+1/2'
'-x+1/2,-y+1/2,z+1/2'
'-x+1/2,y+1/2,z+1/2'
'x+1/2,-y+1/2,z+1/2'
loop_
_atom_site_label
_atom_site_type_symbol
_atom_site_fract_x
_atom_site_fract_y
_atom_site_fract_z
Pd1 Pd 0.000 0.000 0.000
Pd2 Pd 0.000 0.334 0.259
Rh1 Rh 0.000 0.000 0.503
Rh2 Rh 0.000 0.349 0.762
# Energy relative to the elements ... 0.210 eV per atom


(12)
# PdRh PBE relaxed
data_PdRh
_symmetry_space_group_name_H-M 'C 1 2/m 1'
_symmetry_Int_Tables_number 12
_cell_length_a 4.761
_cell_length_b 2.758
_cell_length_c 4.762
_cell_angle_alpha 90.00
_cell_angle_beta 109.44
_cell_angle_gamma 90.00
loop_
_symmetry_equiv_pos_as_xyz
'x,y,z'
'-x,-y,-z'
'-x,y,-z'
'x,-y,z'
'x+1/2,y+1/2,z'
'-x+1/2,-y+1/2,-z'
'-x+1/2,y+1/2,-z'
'x+1/2,-y+1/2,z'
loop_
_atom_site_label
_atom_site_type_symbol
_atom_site_fract_x
_atom_site_fract_y
_atom_site_fract_z
Pd1 Pd 0.000 0.000 0.000
Rh1 Rh 0.000 0.500 0.500
# Energy relative to the elements ... 0.089 eV per atom